#i
VASP calculation (GGA-PBE) on a geometry-optimized CaGdDy2 structure.

```
CaGdDy2
1.0
3.543 0.000 0.000
1.771 3.068 0.000
1.771 1.023 12.565
Ca Gd Dy
1 1 2
Cartesian
0.000 0.000 0.000
3.543 2.045 6.282
1.771 1.023 9.138
5.314 3.068 3.427
```

=====

#ii
VASP calculation (GGA-PBE) on a geometry-optimized CaGdDy2 structure.

```
CaGdDy2
1.0
-0.747 -3.149 -1.624
-1.018 -1.399 3.181
-9.663 3.169 -1.699
Ca Gd Dy
1 1 2
Cartesian
-5.714 -0.690 -0.071
-0.883 -2.274 0.779
-7.423 2.435 -1.305
-2.240 0.735 -0.394
```

=====

#ii wins, 0.090 eV/atom ahead of the next structure.

=====

#i
VASP calculation (GGA-PBE) on a geometry-optimized CaDyH2 structure.

```
CaDyH2
1.0
-1.471 1.000 -3.231
1.088 -1.653 -3.112
-4.526 -4.428 -1.415
Ca Dy H
1 1 2
Cartesian
-2.892 -2.960 -3.809
-0.458 -0.629 -4.196
-3.880 -3.810 -1.518
-0.132 -0.222 -2.113
```

=====

#ii
VASP calculation (GGA-PBE) on a geometry-optimized CaDyH2 structure.

```
CaDyH2
1.0
3.638 0.000 0.000
1.819 3.151 0.000
1.819 1.050 5.910
H Ca Dy
2 1 1
Cartesian
5.457 3.151 4.980
1.819 1.050 0.930
3.638 2.100 2.955
0.000 0.000 0.000
```

=====

#ii wins, 0.009 eV/atom ahead of the next structure.

=====

#i
VASP calculation (GGA-PBE) on a geometry-optimized CaDyMgHg structure.

```
CaDyMgHg
1.0
3.826 0.000 0.000
0.000 3.826 0.000
0.000 0.000 7.556
Ca Dy Mg Hg
1 1 1 1
Cartesian
0.000 0.000 6.548
0.000 0.000 2.599
1.913 1.913 4.490
1.913 1.913 0.931
```

=====

#ii
VASP calculation (GGA-PBE) on a geometry-optimized CaDyMgHg structure.

```
CaDyMgHg
1.0
-2.208 0.031 -4.874
0.880 -4.069 -3.362
-3.955 -3.410 -1.167
Mg Ca Hg Dy
1 1 1 1
Cartesian
0.000 0.000 0.000
-3.962 -5.586 -7.051
-2.642 -3.724 -4.701
-1.321 -1.862 -2.350
```

=====

#i wins, 0.023 eV/atom ahead of the next structure.

=====

#i
VASP calculation (GGA-PBE) on a geometry-optimized CaPrDyHg structure.

```
CaPrDyHg
1.0
-3.605 -0.021 -0.674
0.670 -0.488 -3.573
-0.176 -9.291 1.236
Ca Pr Dy Hg
1 1 1 1
Cartesian
-1.604 -7.447 -1.166
-0.016 -0.863 0.115
-1.531 -3.596 -1.679
-0.098 -5.186 0.690
```

=====

#ii
VASP calculation (GGA-PBE) on a geometry-optimized CaPrDyHg structure.

```
CaPrDyHg
1.0
-5.392 -0.771 1.047
-1.596 -2.250 4.811
-2.559 3.119 3.806
Pr Ca Hg Dy
1 1 1 1
Cartesian
-4.774 0.049 4.832
-2.387 0.025 2.416
-7.160 0.074 7.248
0.000 0.000 0.000
```

=====

#i wins, 0.178 eV/atom ahead of the next structure.

=====

#i
VASP calculation (GGA-PBE) on a geometry-optimized CaDyHo2 structure.

```
CaDyHo2
1.0
3.533 0.000 0.000
1.766 3.059 0.000
1.766 1.020 12.485
Ca Ho Dy
1 2 1
Cartesian
0.000 0.000 0.000
1.766 1.020 9.065
5.299 3.059 3.421
3.533 2.040 6.243
```

=====

#ii
VASP calculation (GGA-PBE) on a geometry-optimized CaDyHo2 structure.

```
CaDyHo2
1.0
-0.431 2.162 -2.845
-3.569 -0.129 0.443
0.472 8.253 6.200
Ca Ho Dy
1 2 1
Cartesian
-1.764 5.143 1.899
0.364 6.355 4.774
0.109 1.898 1.426
-2.000 1.016 -1.201
```

=====

#iii
VASP calculation (GGA-PBE) on a geometry-optimized CaDyHo2 structure.

```
CaDyHo2
1.0
-0.255 -0.147 -3.461
6.177 -1.651 -0.384
-2.089 -11.658 2.391
Ca Dy Ho
2 2 4
Cartesian
-0.670 -12.111 0.562
4.504 -1.344 -2.017
0.418 -6.314 0.237
3.416 -7.141 -1.692
5.376 -4.583 -0.201
1.760 -9.450 0.271
2.073 -4.005 -1.726
-1.542 -8.872 -1.254
```

=====

#ii wins, 0.050 eV/atom ahead of the next structure.

=====

#i
VASP calculation (GGA-PBE) on a geometry-optimized CaDyHo2 structure.

```
CaDyHo2
1.0
-3.483 -0.165 0.795
-1.062 -1.448 3.093
-0.823 10.197 6.560
Ca Dy Ho
1 1 2
Cartesian
-2.685 4.274 5.215
-3.029 -1.063 2.598
-0.986 7.676 5.324
-1.352 1.988 2.534
```

=====

#ii
VASP calculation (GGA-PBE) on a geometry-optimized CaDyHo2 structure.

```
CaDyHo2
1.0
-2.304 -3.561 3.837
2.657 -4.890 1.320
2.435 -0.635 5.136
Ca Ho Dy
1 2 1
Cartesian
1.394 -4.543 5.147
0.697 -2.272 2.573
2.091 -6.815 7.720
0.000 0.000 0.000
```

=====

#i wins, 0.117 eV/atom ahead of the next structure.

=====

#i
VASP calculation (GGA-PBE) on a geometry-optimized CaDy4Ho structure.

```
CaDy4Ho
1.0
3.609 0.000 0.000
0.000 6.184 -1.166
0.000 1.154 17.347
Ca Dy Ho
2 8 2
Cartesian
1.805 0.577 8.674
0.000 0.000 0.000
1.804 4.138 5.047
3.608 2.623 2.460
1.806 3.200 11.134
0.001 4.715 13.721
3.607 1.082 5.559
1.803 5.679 1.948
0.002 6.256 10.622
1.806 1.659 14.233
0.000 3.669 8.090
1.805 3.092 -0.583
```

=====

#ii
VASP calculation (GGA-PBE) on a geometry-optimized CaDy4Ho structure.

```
CaDy4Ho
1.0
6.625 0.000 0.000
3.312 5.737 0.000
3.312 1.912 5.409
Ca Ho Dy
1 1 4
Cartesian
3.312 1.912 1.352
0.000 0.000 0.000
6.625 3.825 0.651
6.625 1.888 3.389
8.302 4.793 3.389
4.948 4.793 3.389
```

=====

#i wins, 0.159 eV/atom ahead of the next structure.

=====

#i
VASP calculation (GGA-PBE) on a geometry-optimized CaDy3In2 structure.

```
CaDy3In2
1.0
-3.522 -1.533 -3.808
-2.382 -4.829 4.147
-6.305 6.034 3.404
Ca Dy In
2 6 4
Cartesian
-6.109 -0.161 1.875
-4.910 2.246 -0.203
-7.492 3.617 5.475
-2.386 -4.824 4.149
-4.584 -3.390 1.764
-7.622 3.071 1.973
-2.687 0.788 2.168
-6.005 0.409 5.390
-8.814 0.654 4.049
-3.394 -0.978 -0.307
-4.816 2.830 3.316
-3.873 -1.627 4.237
```

=====

#ii
VASP calculation (GGA-PBE) on a geometry-optimized CaDy3In2 structure.

```
CaDy3In2
1.0
-1.759 2.883 4.270
-1.565 -9.035 1.985
8.153 4.211 0.515
Ca Dy In
2 6 4
Cartesian
4.780 -0.252 5.609
0.049 -1.690 1.161
3.469 -2.130 2.867
1.797 -2.749 6.066
4.200 2.608 3.439
0.630 -4.550 3.331
3.033 0.807 0.704
1.360 0.189 3.903
6.164 4.770 2.789
-1.335 -6.711 3.981
-1.010 -2.064 4.448
5.839 0.122 2.322
```

=====

#i wins, 0.154 eV/atom ahead of the next structure.